1.
This record from OQMD via LeMat-Bulk describes a relaxed HfSbTe crystal. The functional is PBE.

DFT total energy (eV/atom): -5.39
Crystal system: cubic

Lattice parameters (Å, degrees): 4.950 4.950 4.950 60.00 60.00 60.00
Element x y z (fractional)
Hf: 0.000 0.000 0.000
Sb: 0.500 0.500 0.500
Te: 0.250 0.250 0.250

2.
This record from OQMD via LeMat-Bulk describes a relaxed ScAgTeO crystal. The functional is PBE.

DFT total energy (eV/atom): -5.95
Crystal system: tetragonal

Lattice parameters (Å, degrees): 3.883 3.883 9.859 90.00 90.00 90.00
Element x y z (fractional)
Sc: 0.000 0.000 0.000
Sc: 0.500 0.500 0.189
Ag: 0.000 0.500 0.595
Ag: 0.500 0.000 0.595
Te: 0.000 0.000 0.373
Te: 0.500 0.500 0.817
O: 0.000 0.500 0.094
O: 0.500 0.000 0.094

3.
This record from OQMD via LeMat-Bulk describes a relaxed Ag15As crystal. The functional is PBE.

DFT total energy (eV/atom): -2.87
Crystal system: monoclinic

Lattice parameters (Å, degrees): 5.785 4.101 33.318 90.00 90.11 90.00
Element x y z (fractional)
Ag: 0.123 0.250 0.168
Ag: 0.123 0.250 0.699
Ag: 0.124 0.250 0.256
Ag: 0.125 0.250 0.345
Ag: 0.125 0.250 0.434
Ag: 0.125 0.250 0.522
Ag: 0.126 0.250 0.610
Ag: 0.128 0.250 0.791
Ag: 0.372 0.750 0.301
Ag: 0.375 0.750 0.209
Ag: 0.375 0.750 0.390
Ag: 0.375 0.750 0.478
Ag: 0.375 0.750 0.566
Ag: 0.375 0.750 0.655
Ag: 0.376 0.750 0.743
Ag: 0.624 0.250 0.257
Ag: 0.625 0.250 0.345
Ag: 0.625 0.250 0.434
Ag: 0.625 0.250 0.522
Ag: 0.625 0.250 0.610
Ag: 0.625 0.250 0.791
Ag: 0.628 0.250 0.699
Ag: 0.872 0.750 0.209
Ag: 0.874 0.750 0.390
Ag: 0.875 0.750 0.478
Ag: 0.875 0.750 0.566
Ag: 0.875 0.750 0.655
Ag: 0.876 0.750 0.744
Ag: 0.877 0.750 0.301
Ag: 0.877 0.750 0.832
As: 0.377 0.750 0.826
As: 0.623 0.250 0.174

4.
This record from OQMD via LeMat-Bulk describes a relaxed TaGaCo2 crystal. The functional is PBE.

DFT total energy (eV/atom): -7.49
Crystal system: tetragonal

Lattice parameters (Å, degrees): 4.098 4.098 3.145 90.00 90.00 90.00
Element x y z (fractional)
Ta: 0.000 0.000 0.000
Ga: 0.500 0.500 0.000
Co: 0.000 0.500 0.500
Co: 0.500 0.000 0.500

5.
This record from OQMD via LeMat-Bulk describes a relaxed RbAlHgSe3 crystal. The functional is PBE.

DFT total energy (eV/atom): -3.32
Crystal system: orthorhombic

Lattice parameters (Å, degrees): 8.098 8.098 11.779 90.00 90.00 151.17
Element x y z (fractional)
Rb: 0.248 0.752 0.750
Rb: 0.752 0.248 0.250
Al: 0.028 0.972 0.250
Al: 0.972 0.028 0.750
Hg: 0.500 0.500 0.000
Hg: 0.500 0.500 0.500
Se: 0.112 0.888 0.080
Se: 0.112 0.888 0.420
Se: 0.434 0.566 0.250
Se: 0.566 0.434 0.750
Se: 0.888 0.112 0.580
Se: 0.888 0.112 0.920

6.
This record from OQMD via LeMat-Bulk describes a relaxed GdZn crystal. The functional is PBE.

Crystal system: orthorhombic
Formation energy from the elements (eV/atom): 0.012

Lattice parameters (Å, degrees): 4.833 12.973 5.839 90.00 90.00 90.00
Element x y z (fractional)
Gd: 0.250 0.011 0.183
Gd: 0.250 0.135 0.653
Gd: 0.250 0.365 0.653
Gd: 0.250 0.489 0.183
Gd: 0.750 0.511 0.817
Gd: 0.750 0.635 0.347
Gd: 0.750 0.865 0.347
Gd: 0.750 0.989 0.817
Zn: 0.250 0.250 0.164
Zn: 0.250 0.630 0.693
Zn: 0.250 0.750 0.099
Zn: 0.250 0.870 0.693
Zn: 0.750 0.130 0.307
Zn: 0.750 0.250 0.901
Zn: 0.750 0.370 0.307
Zn: 0.750 0.750 0.836

7.
This record from OQMD via LeMat-Bulk describes a relaxed RbHoTa crystal. The functional is PBE.

DFT total energy (eV/atom): -3.77
Crystal system: cubic

Lattice parameters (Å, degrees): 5.512 5.512 5.512 60.00 60.00 60.00
Element x y z (fractional)
Rb: 0.000 0.000 0.000
Ho: 0.250 0.250 0.250
Ta: 0.500 0.500 0.500

8.
This record from OQMD via LeMat-Bulk describes a relaxed SmTcSn crystal. The functional is PBE.

DFT total energy (eV/atom): -5.45
Crystal system: cubic

Lattice parameters (Å, degrees): 4.886 4.886 4.886 60.00 60.00 60.00
Element x y z (fractional)
Sm: 0.000 0.000 0.000
Tc: 0.250 0.250 0.250
Sn: 0.750 0.750 0.750

9.
This record from OQMD via LeMat-Bulk describes a relaxed Pm2BrN crystal. The functional is PBE.

DFT total energy (eV/atom): -6.29
Crystal system: trigonal

Lattice parameters (Å, degrees): 7.542 7.542 7.542 28.38 28.38 28.38
Element x y z (fractional)
Pm: 0.226 0.226 0.226
Pm: 0.774 0.774 0.774
Br: 0.000 0.000 0.000
N: 0.500 0.500 0.500

10.
This record from OQMD via LeMat-Bulk describes a relaxed CuNiGe crystal. The functional is PBE.

DFT total energy (eV/atom): -4.68
Crystal system: cubic

Lattice parameters (Å, degrees): 3.935 3.935 3.935 60.00 60.00 60.00
Element x y z (fractional)
Cu: 0.000 0.000 0.000
Ni: 0.250 0.250 0.250
Ge: 0.500 0.500 0.500

11.
This record from OQMD via LeMat-Bulk describes a relaxed Ni2AgSn crystal. The functional is PBE.

DFT total energy (eV/atom): -4.40
Crystal system: cubic

Lattice parameters (Å, degrees): 4.394 4.394 4.394 60.00 60.00 60.00
Element x y z (fractional)
Ni: 0.000 0.000 0.000
Ni: 0.250 0.250 0.250
Ag: 0.750 0.750 0.750
Sn: 0.500 0.500 0.500

12.
This record from OQMD via LeMat-Bulk describes a relaxed Ta4CuPC2 crystal. The functional is PBE.

DFT total energy (eV/atom): -9.87
Crystal system: hexagonal

Lattice parameters (Å, degrees): 3.220 3.220 12.274 90.00 90.00 120.00
Element x y z (fractional)
Ta: 0.000 0.000 0.142
Ta: 0.000 0.000 0.858
Ta: 0.667 0.333 0.335
Ta: 0.667 0.333 0.665
Cu: 0.000 0.000 0.500
P: 0.667 0.333 0.000
C: 0.333 0.667 0.243
C: 0.333 0.667 0.757

13.
This record from OQMD via LeMat-Bulk describes a relaxed NaNi4P2 crystal. The functional is PBE.

DFT total energy (eV/atom): -5.38
Crystal system: tetragonal

Lattice parameters (Å, degrees): 7.073 7.073 3.498 90.00 90.00 90.00
Element x y z (fractional)
Na: 0.000 0.000 0.000
Na: 0.500 0.500 0.500
Ni: 0.079 0.332 0.500
Ni: 0.168 0.579 0.000
Ni: 0.332 0.079 0.500
Ni: 0.421 0.832 0.000
Ni: 0.579 0.168 0.000
Ni: 0.668 0.921 0.500
Ni: 0.832 0.421 0.000
Ni: 0.921 0.668 0.500
P: 0.228 0.772 0.500
P: 0.272 0.272 0.000
P: 0.728 0.728 0.000
P: 0.772 0.228 0.500

14.
This record from OQMD via LeMat-Bulk describes a relaxed Er3Hg3Pd2 crystal. The functional is PBE.

Crystal system: hexagonal
Formation energy from the elements (eV/atom): -0.696

Lattice parameters (Å, degrees): 7.585 7.585 3.630 90.00 90.00 120.00
Element x y z (fractional)
Er: 0.000 0.588 0.000
Er: 0.412 0.412 0.000
Er: 0.588 0.000 0.000
Hg: 0.000 0.237 0.500
Hg: 0.237 0.000 0.500
Hg: 0.763 0.763 0.500
Pd: 0.333 0.667 0.500
Pd: 0.667 0.333 0.500

15.
This record from OQMD via LeMat-Bulk describes a relaxed HfTaBeTc crystal. The functional is PBE.

DFT total energy (eV/atom): -8.98
Crystal system: cubic

Lattice parameters (Å, degrees): 4.467 4.467 4.467 60.00 60.00 60.00
Element x y z (fractional)
Hf: 0.000 0.000 0.000
Ta: 0.750 0.750 0.750
Be: 0.250 0.250 0.250
Tc: 0.500 0.500 0.500

16.
This record from OQMD via LeMat-Bulk describes a relaxed Pr2TmMg3CuHg2 crystal. The functional is PBE.

DFT total energy (eV/atom): -2.87
Crystal system: orthorhombic

Lattice parameters (Å, degrees): 4.245 7.816 7.816 119.76 90.00 90.00
Element x y z (fractional)
Pr: 0.000 0.202 0.798
Pr: 0.000 0.798 0.202
Tm: 0.000 0.602 0.602
Mg: 0.500 0.206 0.438
Mg: 0.500 0.438 0.206
Mg: 0.500 0.967 0.967
Cu: 0.000 0.210 0.210
Hg: 0.500 0.539 0.857
Hg: 0.500 0.857 0.539

17.
This record from OQMD via LeMat-Bulk describes a relaxed Nd2Ho2CBr2Cl3 crystal. The functional is PBE.

DFT total energy (eV/atom): -5.26
Crystal system: monoclinic

Lattice parameters (Å, degrees): 9.110 9.110 7.901 103.51 103.51 23.86
Element x y z (fractional)
Nd: 0.145 0.145 0.082
Nd: 0.855 0.855 0.918
Ho: 0.500 0.500 0.208
Ho: 0.500 0.500 0.792
C: 0.000 0.000 0.000
Br: 0.334 0.334 0.197
Br: 0.666 0.666 0.803
Cl: 0.000 0.000 0.500
Cl: 0.345 0.345 0.648
Cl: 0.655 0.655 0.352

18.
This record from OQMD via LeMat-Bulk describes a relaxed TaCuAgB crystal. The functional is PBE.

DFT total energy (eV/atom): -5.22
Crystal system: cubic

Lattice parameters (Å, degrees): 4.292 4.292 4.292 60.00 60.00 60.00
Element x y z (fractional)
Ta: 0.000 0.000 0.000
Cu: 0.750 0.750 0.750
Ag: 0.250 0.250 0.250
B: 0.500 0.500 0.500

19.
This record from OQMD via LeMat-Bulk describes a relaxed Te3MoSeI crystal. The functional is PBE.

DFT total energy (eV/atom): -4.44
Crystal system: triclinic

Lattice parameters (Å, degrees): 6.804 8.647 8.860 62.49 67.46 75.18
Element x y z (fractional)
Te: 0.028 0.251 0.283
Te: 0.379 0.902 0.807
Te: 0.450 0.302 0.400
Te: 0.550 0.698 0.600
Te: 0.621 0.098 0.193
Te: 0.972 0.749 0.717
Mo: 0.278 0.999 0.500
Mo: 0.722 0.001 0.500
Se: 0.112 0.838 0.381
Se: 0.888 0.162 0.619
I: 0.226 0.248 0.884
I: 0.774 0.752 0.116

20.
This record from OQMD via LeMat-Bulk describes a relaxed SrGa2Au2 crystal. The functional is PBE.

DFT total energy (eV/atom): -3.43
Crystal system: tetragonal

Lattice parameters (Å, degrees): 6.108 6.108 6.108 135.22 135.22 65.18
Element x y z (fractional)
Sr: 0.000 0.000 0.000
Ga: 0.374 0.374 0.000
Ga: 0.626 0.626 0.000
Au: 0.250 0.750 0.500
Au: 0.750 0.250 0.500

21.
This record from OQMD via LeMat-Bulk describes a relaxed HfGaRe2 crystal. The functional is PBE.

DFT total energy (eV/atom): -9.39
Crystal system: cubic

Lattice parameters (Å, degrees): 4.502 4.502 4.502 60.00 60.00 60.00
Element x y z (fractional)
Hf: 0.000 0.000 0.000
Ga: 0.750 0.750 0.750
Re: 0.250 0.250 0.250
Re: 0.500 0.500 0.500

22.
This record from OQMD via LeMat-Bulk describes a relaxed LaNd2TaO6 crystal. The functional is PBE.

DFT total energy (eV/atom): -8.55
Crystal system: trigonal

Lattice parameters (Å, degrees): 5.721 5.721 5.721 65.57 65.57 65.57
Element x y z (fractional)
La: 0.000 0.000 0.000
Nd: 0.279 0.279 0.279
Nd: 0.721 0.721 0.721
Ta: 0.500 0.500 0.500
O: 0.146 0.392 0.714
O: 0.286 0.854 0.608
O: 0.392 0.714 0.146
O: 0.608 0.286 0.854
O: 0.714 0.146 0.392
O: 0.854 0.608 0.286

23.
This record from OQMD via LeMat-Bulk describes a relaxed BaAlSnAu2 crystal. The functional is PBE.

DFT total energy (eV/atom): -3.85
Crystal system: tetragonal

Lattice parameters (Å, degrees): 4.818 4.818 10.814 90.00 90.00 90.00
Element x y z (fractional)
Ba: 0.250 0.250 0.244
Ba: 0.750 0.750 0.756
Al: 0.250 0.250 0.896
Al: 0.750 0.750 0.104
Sn: 0.250 0.750 0.500
Sn: 0.750 0.250 0.500
Au: 0.250 0.250 0.658
Au: 0.250 0.750 0.000
Au: 0.750 0.250 0.000
Au: 0.750 0.750 0.342

24.
This record from OQMD via LeMat-Bulk describes a relaxed ZnSiAu2 crystal. The functional is PBE.

DFT total energy (eV/atom): -3.11
Crystal system: cubic

Lattice parameters (Å, degrees): 4.607 4.607 4.607 60.00 60.00 60.00
Element x y z (fractional)
Zn: 0.000 0.000 0.000
Si: 0.750 0.750 0.750
Au: 0.250 0.250 0.250
Au: 0.500 0.500 0.500

no.,mass density (kg/m3)
1,8286
2,6624
3,7113
4,11585
5,4903
6,8079
7,6047
8,7389
9,7444
10,7510
11,9524
12,12689
13,6067
14,12088
15,12289
16,7290
17,5781
18,10789
19,5349
20,9255
21,15976
22,7879
23,8955
24,11708